No. 1
Below is SrCa2Os after structural relaxation, with properties calculated at the GGA-PBEsol level.

## Properties
* relative energy among the computed polymorphs: 0.401 eV/atom
* calculated volume: 25.929 A^3/atom
* D(E_F): 10.21 states/eV per cell
* formation energy from the elements: 833 meV/atom

a b c (Å): 6.416 10.578 3.334
angles (deg): 90.00 113.54 90.00
Space group C2/m (No. 12)
Asymmetric unit:
Sr (0.000, 0.000, 0.000) (multiplicity 2)
Ca (0.250, 0.250, 0.500) (multiplicity 4)
Os (0.000, 0.500, 0.000) (multiplicity 2)

---

No. 2
Below is SrCa2Os after structural relaxation, with properties calculated at the GGA-PBEsol level.

## Properties
* relative energy among the computed polymorphs: 0.179 eV/atom
* calculated volume: 25.883 A^3/atom
* D(E_F): 1.57 states/eV per cell
* formation energy from the elements: 612 meV/atom

a b c (Å): 4.697 4.697 4.694
angles (deg): 90.00 90.00 90.00
Space group P4/mmm (No. 123)
Asymmetric unit:
Sr (0.000, 0.000, 0.000) (multiplicity 1)
Ca (0.000, 0.500, 0.500) (multiplicity 2)
Os (0.500, 0.500, 0.000) (multiplicity 1)

---

No. 3
Below is SrCa2Os after structural relaxation, with properties calculated at the GGA-PBEsol level.

## Properties
* relative energy among the computed polymorphs: 0.000 eV/atom
* calculated volume: 30.482 A^3/atom
* D(E_F): 6.45 states/eV per cell
* formation energy from the elements: 433 meV/atom

a b c (Å): 3.527 5.545 12.470
angles (deg): 90.00 90.00 90.00
Space group Immm (No. 71)
Asymmetric unit:
Sr (0.000, 0.000, 0.000) (multiplicity 2)
Ca (0.000, 0.500, 0.175) (multiplicity 4)
Os (0.000, 0.000, 0.500) (multiplicity 2)

---

No. 4
Below is SrCa2Os after structural relaxation, with properties calculated at the GGA-PBEsol level.

## Properties
* relative energy among the computed polymorphs: 0.189 eV/atom
* calculated volume: 30.331 A^3/atom
* D(E_F): 10.35 states/eV per cell
* formation energy from the elements: 622 meV/atom

a b c (Å): 3.5643 3.5643 33.0821
angles (deg): 90.00 90.00 120.00
Space group R-3m (No. 166, hexagonal axes)
Asymmetric unit:
Sr (0.0000, 0.0000, 0.0000) (multiplicity 3)
Ca (0.0000, 0.0000, 0.2262) (multiplicity 6)
Os (0.0000, 0.0000, 0.5000) (multiplicity 3)